Entry 1:
This record from Alexandria via LeMat-Bulk describes a relaxed structure of Sn3SbAu6. The functional is PBE-GGA.

## Properties
- relative energy among the computed polymorphs (meV per atom) = 0
- formation energy without anion corrections (meV/atom) = -24
- total moment (μB/cell) = 0.0
- energy (eV for the cell shown) = -72.1

Lattice parameters (Å, degrees): 7.594 7.250 9.110 90.00 63.95 90.00
Fractional coordinates of all 20 atoms:
Sn: 0.505 0.870 0.745
Sn: 0.500 0.500 0.000
Sn: 0.495 0.130 0.255
Sn: 0.005 0.630 0.245
Sn: 0.000 0.000 0.500
Sn: 0.995 0.370 0.755
Sb: 0.500 0.500 0.500
Sb: 0.000 0.000 0.000
Au: 0.682 0.110 0.909
Au: 0.650 0.234 0.628
Au: 0.777 0.421 0.133
Au: 0.223 0.579 0.867
Au: 0.350 0.766 0.372
Au: 0.318 0.890 0.091
Au: 0.182 0.390 0.409
Au: 0.150 0.266 0.128
Au: 0.277 0.079 0.633
Au: 0.723 0.921 0.367
Au: 0.850 0.734 0.872
Au: 0.818 0.610 0.591

Entry 2:
This record from Alexandria via LeMat-Bulk describes a relaxed structure of SnSbAu6. The functional is PBE-GGA.

## Properties
- formation energy without anion corrections (meV/atom) = -16
- total moment (μB/cell) = 0.0
- energy (eV for the cell shown) = -27.9

Lattice parameters (Å, degrees): 5.280 5.280 6.792 111.11 111.11 94.29
Fractional coordinates of all 8 atoms:
Sn: 0.000 0.000 0.000
Sb: 0.500 0.500 0.000
Au: 0.628 0.127 0.255
Au: 0.873 0.372 0.745
Au: 0.250 0.250 0.497
Au: 0.127 0.628 0.255
Au: 0.372 0.873 0.745
Au: 0.750 0.750 0.503

Entry 3:
This record from Alexandria via LeMat-Bulk describes a relaxed structure of Sn2SbAu2. The functional is PBE-GGA.

## Properties
- relative energy among the computed polymorphs (meV per atom) = 0
- formation energy without anion corrections (meV/atom) = -73
- total moment (μB/cell) = 0.0
- energy (eV for the cell shown) = -38.1

Lattice parameters (Å, degrees): 7.375 7.375 6.848 93.27 121.34 117.65
Fractional coordinates of all 10 atoms:
Sn: 0.173 0.920 0.240
Sn: 0.820 0.067 0.740
Sn: 0.472 0.406 0.727
Sn: 0.821 0.255 0.227
Sb: 0.178 0.744 0.783
Sb: 0.539 0.605 0.283
Au: 0.693 0.337 0.535
Au: 0.698 0.842 0.035
Au: 0.310 0.169 0.965
Au: 0.295 0.655 0.465

Entry 4:
This record from Alexandria via LeMat-Bulk describes a relaxed structure of Sn6Sb3Au. The functional is PBE-GGA.

## Properties
- formation energy without anion corrections (meV/atom) = 48
- total moment (μB/cell) = 0.0
- energy (eV for the cell shown) = -78.4

Lattice parameters (Å, degrees): 6.384 9.152 9.676 90.00 92.16 90.00
Fractional coordinates of all 20 atoms:
Sn: 0.630 0.176 0.952
Sn: 0.599 0.186 0.574
Sn: 0.712 0.390 0.269
Sn: 0.288 0.610 0.731
Sn: 0.401 0.814 0.426
Sn: 0.370 0.824 0.048
Sn: 0.130 0.324 0.452
Sn: 0.099 0.314 0.074
Sn: 0.212 0.110 0.769
Sn: 0.788 0.890 0.231
Sn: 0.901 0.686 0.926
Sn: 0.870 0.676 0.548
Sb: 0.584 0.871 0.752
Sb: 0.500 0.500 0.000
Sb: 0.416 0.129 0.248
Sb: 0.084 0.629 0.252
Sb: 0.000 0.000 0.500
Sb: 0.916 0.371 0.748
Au: 0.500 0.500 0.500
Au: 0.000 0.000 0.000